# 1
Entry from Alexandria via LeMat-Bulk: SrIr2Pb2 after structural relaxation (PBE-GGA).

For the magnetization, the calculation gives 0.0000 μB/atom. For the calculated formation energy, the calculation gives 0.171 eV per atom. The volume is 229.6 Å³/cell.

It has space group P4/mbm (No. 127), with a = 7.900 Å, b = 7.900 Å, c = 3.680 Å, α = 90.00°, β = 90.00° and γ = 90.00°. The asymmetric unit holds Sr at (0.000, 0.000, 0.000), Ir at (0.124, 0.376, 0.000) and Pb at (0.161, 0.661, 0.500).

---

# 2
Entry from Alexandria via LeMat-Bulk: SrIrPb3 after structural relaxation (PBE-GGA).

For the magnetization, the calculation gives 0.2452 μB/atom. For the calculated formation energy, the calculation gives 1.748 eV per atom. The volume is 206.8 Å³/cell.

It has space group Pm-3m (No. 221), with a = 5.914 Å, b = 5.914 Å, c = 5.914 Å, α = 90.00°, β = 90.00° and γ = 90.00°. The asymmetric unit holds Sr at (0.000, 0.000, 0.000), Ir at (0.500, 0.500, 0.500) and Pb at (0.000, 0.000, 0.500).

---

# 3
Entry from Alexandria via LeMat-Bulk: Sr2IrPb2 after structural relaxation (PBE-GGA).

The value obtained for the energy above the most stable polymorph in this dataset is 0 meV/atom. For the magnetization, the calculation gives 0.0000 μB/atom. For the calculated formation energy, the calculation gives -0.195 eV per atom. The volume is 292.0 Å³/cell.

It has space group P4/mbm (No. 127), with a = 7.501 Å, b = 7.501 Å, c = 5.191 Å, α = 90.00°, β = 90.00° and γ = 90.00°. The asymmetric unit holds Sr at (0.172, 0.328, 0.000), Ir at (0.000, 0.000, 0.500) and Pb at (0.146, 0.646, 0.500).

---

# 4
Entry from Alexandria via LeMat-Bulk: SrIrPb after structural relaxation (PBE-GGA).

For the magnetization, the calculation gives 0.0000 μB/atom. For the calculated formation energy, the calculation gives -0.306 eV per atom. The volume is 333.9 Å³/cell.

It has space group C2/m (No. 12), with a = 13.181 Å, b = 4.452 Å, c = 5.801 Å, α = 90.00°, β = 101.23° and γ = 90.00°. The asymmetric unit holds Sr at (0.129, 0.000, 0.334), Ir at (0.215, 0.000, 0.900) and Pb at (0.083, 0.500, 0.802).

---

# 5
Entry from Alexandria via LeMat-Bulk: SrIrPb3 after structural relaxation (PBE-GGA).

For the magnetization, the calculation gives 0.0000 μB/atom. For the calculated formation energy, the calculation gives 0.096 eV per atom. The volume is 159.1 Å³/cell.

It has space group Pm-3m (No. 221), with a = 5.419 Å, b = 5.419 Å, c = 5.419 Å, α = 90.00°, β = 90.00° and γ = 90.00°. The asymmetric unit holds Sr at (0.000, 0.000, 0.000), Ir at (0.500, 0.500, 0.500) and Pb at (0.000, 0.500, 0.500).

---

# 6
Entry from Alexandria via LeMat-Bulk: SrIr3Pb after structural relaxation (PBE-GGA).

The value obtained for the energy above the most stable polymorph in this dataset is 0 meV/atom. For the magnetization, the calculation gives 0.1903 μB/atom. For the calculated formation energy, the calculation gives 1.253 eV per atom. The volume is 129.6 Å³/cell.

It has space group Pm-3m (No. 221), with a = 5.060 Å, b = 5.060 Å, c = 5.060 Å, α = 90.00°, β = 90.00° and γ = 90.00°. The asymmetric unit holds Sr at (0.000, 0.000, 0.000), Ir at (0.000, 0.500, 0.500) and Pb at (0.500, 0.500, 0.500).